This record from Alexandria via LeMat-Bulk describes BeTc2Te after structural relaxation. The functional is PBE-GGA.

a = 4.431 Å, b = 4.431 Å, c = 4.431 Å
α = 60.00°, β = 60.00°, γ = 60.00°
Fractional coordinates of all 4 atoms:
Be 0.500 0.500 0.500
Te 0.750 0.750 0.750
Tc 0.000 0.000 0.000
Tc 0.250 0.250 0.250

Properties
Uncorrected formation energy: 0.531 eV/atom
Offset from the most stable computed form: 397.9 meV/atom
Fermi-level density of states: 5.03 states/eV/cell
SG: F-43m, No. 216
Volume: 61.5 Å³/cell
Mass density: 9.0 Mg/m³